Record 1
{"formula": "Te2MoWS2", "functional": "GGA-PBEsol", "state": "optimized geometry", "lattice_angstrom": [[3.302, 0.000, 0.000], [-1.651, 2.859, 0.000], [0.000, 0.000, 13.271]], "species": ["Te", "Te", "Mo", "W", "S", "S"], "fractional_positions": [[0.000, 0.000, 0.142], [0.000, 0.000, 0.858], [0.667, 0.333, 0.000], [0.000, 0.000, 0.500], [0.667, 0.333, 0.386], [0.667, 0.333, 0.614]], "space_group": "P-6m2", "dos_ef_per_ev_cell": 0.50}

---

Record 2
{"formula": "Te2MoWS2", "functional": "GGA-PBEsol", "state": "optimized geometry", "lattice_angstrom": [[3.302, 0.000, 0.000], [-1.651, 2.860, 0.000], [0.000, 0.000, 26.686]], "species": ["Te", "Te", "Te", "Te", "Mo", "Mo", "W", "W", "S", "S", "S", "S"], "fractional_positions": [[0.333, 0.667, 0.295], [0.333, 0.667, 0.437], [0.667, 0.333, 0.563], [0.667, 0.333, 0.705], [0.333, 0.667, 0.634], [0.667, 0.333, 0.366], [0.333, 0.667, 0.116], [0.667, 0.333, 0.884], [0.333, 0.667, 0.827], [0.333, 0.667, 0.941], [0.667, 0.333, 0.059], [0.667, 0.333, 0.173]], "space_group": "P-3m1", "dos_ef_per_ev_cell": 0.75}

---

Record 3
{"formula": "Te4MoW2S2", "functional": "GGA-PBEsol", "state": "optimized geometry", "lattice_angstrom": [[3.361, 0.000, 0.000], [-1.680, 2.911, 0.000], [0.000, 0.000, 21.364]], "species": ["Te", "Te", "Te", "Te", "Mo", "W", "W", "S", "S"], "fractional_positions": [[0.000, 0.000, 0.000], [0.000, 0.000, 0.174], [0.333, 0.667, 0.665], [0.333, 0.667, 0.841], [0.333, 0.667, 0.087], [0.000, 0.000, 0.753], [0.333, 0.667, 0.442], [0.000, 0.000, 0.372], [0.000, 0.000, 0.512]], "space_group": "P3m1", "dos_ef_per_ev_cell": 1.14}

---

Record 4
{"formula": "TmMo6S8", "functional": "GGA-PBEsol", "state": "optimized geometry", "lattice_angstrom": [[4.468, 2.580, 3.735], [-4.468, 2.580, 3.735], [0.000, -5.159, 3.735]], "species": ["Tm", "Mo", "Mo", "Mo", "Mo", "Mo", "Mo", "S", "S", "S", "S", "S", "S", "S", "S"], "fractional_positions": [[0.000, 0.000, 0.000], [0.220, 0.420, 0.561], [0.420, 0.561, 0.220], [0.439, 0.780, 0.580], [0.561, 0.220, 0.420], [0.580, 0.439, 0.780], [0.780, 0.580, 0.439], [0.128, 0.757, 0.368], [0.237, 0.237, 0.237], [0.243, 0.632, 0.872], [0.368, 0.128, 0.757], [0.632, 0.872, 0.243], [0.757, 0.368, 0.128], [0.763, 0.763, 0.763], [0.872, 0.243, 0.632]], "space_group": "R-3", "dos_ef_per_ev_cell": 5.90}

---

Record 5
{"formula": "MoWS3", "functional": "GGA-PBEsol", "state": "optimized geometry", "lattice_angstrom": [[4.583, 0.000, 0.000], [0.000, 4.583, 0.000], [0.000, 0.000, 4.583]], "species": ["Mo", "W", "S", "S", "S"], "fractional_positions": [[0.000, 0.000, 0.000], [0.500, 0.500, 0.500], [0.000, 0.000, 0.500], [0.000, 0.500, 0.000], [0.500, 0.000, 0.000]], "space_group": "Pm-3m", "dos_ef_per_ev_cell": 4.23}

---

Record 6
{"formula": "MoW2S6", "functional": "GGA-PBEsol", "state": "optimized geometry", "lattice_angstrom": [[3.142, 0.000, 0.000], [-1.571, 2.721, 0.000], [0.000, 0.000, 19.443]], "species": ["Mo", "W", "W", "S", "S", "S", "S", "S", "S"], "fractional_positions": [[0.000, 0.000, 0.000], [0.333, 0.667, 0.320], [0.333, 0.667, 0.680], [0.000, 0.000, 0.240], [0.000, 0.000, 0.401], [0.000, 0.000, 0.599], [0.000, 0.000, 0.760], [0.333, 0.667, 0.080], [0.333, 0.667, 0.920]], "space_group": "P-6m2"}

---

Record 7
{"formula": "MoWS4", "functional": "GGA-PBEsol", "state": "optimized geometry", "lattice_angstrom": [[3.141, 0.000, 0.000], [-1.570, 2.720, 0.000], [0.000, 0.000, 24.968]], "species": ["Mo", "Mo", "W", "W", "S", "S", "S", "S", "S", "S", "S", "S"], "fractional_positions": [[0.333, 0.667, 0.125], [0.667, 0.333, 0.875], [0.333, 0.667, 0.625], [0.667, 0.333, 0.375], [0.333, 0.667, 0.312], [0.333, 0.667, 0.438], [0.333, 0.667, 0.813], [0.333, 0.667, 0.937], [0.667, 0.333, 0.063], [0.667, 0.333, 0.187], [0.667, 0.333, 0.562], [0.667, 0.333, 0.688]], "space_group": "P-3m1"}

---

Record 8
{"formula": "MoW2S6", "functional": "GGA-PBEsol", "state": "optimized geometry", "lattice_angstrom": [[3.142, 0.000, 0.000], [-1.571, 2.721, 0.000], [0.000, 0.000, 19.813]], "species": ["Mo", "W", "W", "S", "S", "S", "S", "S", "S"], "fractional_positions": [[0.000, 0.000, 0.000], [0.000, 0.000, 0.364], [0.667, 0.333, 0.683], [0.000, 0.000, 0.604], [0.000, 0.000, 0.763], [0.667, 0.333, 0.079], [0.667, 0.333, 0.285], [0.667, 0.333, 0.443], [0.667, 0.333, 0.921]], "space_group": "P3m1"}

---

Record 9
{"formula": "MoWS4", "functional": "GGA-PBEsol", "state": "optimized geometry", "lattice_angstrom": [[3.141, 0.000, 0.000], [-1.570, 2.720, 0.000], [0.000, 0.000, 12.351]], "species": ["Mo", "W", "S", "S", "S", "S"], "fractional_positions": [[0.000, 0.000, 0.000], [0.667, 0.333, 0.500], [0.000, 0.000, 0.373], [0.000, 0.000, 0.627], [0.667, 0.333, 0.126], [0.667, 0.333, 0.874]], "space_group": "P-6m2"}

---

Record 10
{"formula": "Mo3WS8", "functional": "GGA-PBEsol", "state": "optimized geometry", "lattice_angstrom": [[3.139, 0.000, 0.000], [-1.570, 2.719, 0.000], [0.000, 0.000, 25.122]], "species": ["Mo", "Mo", "Mo", "W", "S", "S", "S", "S", "S", "S", "S", "S"], "fractional_positions": [[0.000, 0.000, 0.000], [0.000, 0.000, 0.500], [0.667, 0.333, 0.251], [0.667, 0.333, 0.750], [0.000, 0.000, 0.189], [0.000, 0.000, 0.313], [0.000, 0.000, 0.688], [0.000, 0.000, 0.813], [0.667, 0.333, 0.062], [0.667, 0.333, 0.438], [0.667, 0.333, 0.562], [0.667, 0.333, 0.938]], "space_group": "P3m1"}

---

Record 11
{"formula": "ZnMo3S", "functional": "GGA-PBEsol", "state": "optimized geometry", "lattice_angstrom": [[4.524, 0.000, 0.000], [0.000, 4.524, 0.000], [0.000, 0.000, 4.524]], "species": ["Zn", "Mo", "Mo", "Mo", "S"], "fractional_positions": [[0.000, 0.000, 0.000], [0.000, 0.000, 0.500], [0.000, 0.500, 0.000], [0.500, 0.000, 0.000], [0.500, 0.500, 0.500]], "space_group": "Pm-3m", "dos_ef_per_ev_cell": 6.43}

---

Record 12
{"formula": "ZnMoS2", "functional": "GGA-PBEsol", "state": "optimized geometry", "lattice_angstrom": [[-2.754, 2.754, 5.005], [2.754, -2.754, 5.005], [2.754, 2.754, -5.005]], "species": ["Zn", "Zn", "Mo", "Mo", "S", "S", "S", "S"], "fractional_positions": [[0.000, 0.000, 0.000], [0.750, 0.250, 0.500], [0.250, 0.750, 0.500], [0.500, 0.500, 0.000], [0.126, 0.625, 0.001], [0.375, 0.376, 0.501], [0.624, 0.125, 0.999], [0.875, 0.874, 0.499]], "space_group": "I-42d", "dos_ef_per_ev_cell": 5.50}

---

Number 1: energy -7.413 eV per atom. Number 2: energy -7.414 eV per atom. Number 3: energy -7.265 eV per atom. Number 4: energy -8.359 eV per atom. Number 5: energy -6.753 eV per atom. Number 6: energy -8.217 eV per atom. Number 7: energy -8.118 eV per atom. Number 8: energy -8.218 eV per atom. Number 9: energy -8.118 eV per atom. Number 10: energy -7.966 eV per atom. Number 11: energy -6.243 eV per atom. Number 12: energy -5.685 eV per atom.